Compound: Hg2Pt
Source: the Alexandria database
Functional: meta-GGA SCAN
Structure: single point on PBEsol structure

* raw total energy: -206.51 eV per formula unit
* calculated formation energy: 0.01 eV per atom
* density: 16.467 g/cm³
* total magnetic moment: 0.00 μB per formula unit

```
Hg2Pt
1.0
5.411 0.009 0.000
-2.479 4.809 0.000
-1.466 -2.409 4.618
Hg Pt
4 2
Direct
0.169 0.669 0.839 Hg
0.669 0.831 0.500 Hg
0.331 0.169 0.500 Hg
0.831 0.331 0.161 Hg
0.750 0.750 0.000 Pt
0.250 0.250 0.000 Pt
```